1.
First-principles (PBE-GGA) data for Tm3PSe2 after structural relaxation, as listed in the Open Quantum Materials Database.

```
Tm3PSe2
1.0
0.467 -3.547 5.989
-1.861 2.925 6.054
-1.938 -1.859 -6.438
P Se Tm
1 2 3
direct
0.000 0.000 0.000
0.329 0.329 0.000
0.671 0.671 0.000
0.500 0.000 0.500
0.849 0.349 0.500
0.151 0.651 0.500
```

E above lowest polymorph	0.0	meV/atom
symmetry	Immm (71)
magnetization	0.001	μB per atom
total energy	-36.15	eV for the cell shown



2.
First-principles (PBE-GGA) data for Tm3PSe2 after structural relaxation, as listed in the Open Quantum Materials Database.

```
Tm3PSe2
1.0
-1.215 1.967 -3.245
1.126 -3.811 -0.286
-9.254 -2.864 1.729
P Se Tm
1 2 3
direct
0.000 0.000 0.000
0.333 0.667 0.331
0.667 0.333 0.669
0.667 0.333 0.150
0.000 0.000 0.500
0.333 0.667 0.850
```

E above lowest polymorph	13.9	meV/atom
symmetry	P-3m1 (164)
magnetization	0.000	μB per atom
total energy	-36.06	eV for the cell shown



3.
First-principles (PBE-GGA) data for U3PSe2 after structural relaxation, as listed in the Open Quantum Materials Database.

```
U3PSe2
1.0
2.747 6.455 -0.368
-6.891 -0.949 0.978
2.357 -1.940 6.203
P Se U
2 4 6
direct
0.411 0.589 0.250
0.589 0.411 0.750
0.758 0.242 0.250
0.082 0.918 0.250
0.918 0.082 0.750
0.242 0.758 0.750
0.000 0.500 0.000
0.348 0.192 0.007
0.808 0.652 0.493
0.500 0.000 0.500
0.192 0.348 0.507
0.652 0.808 0.993
```

symmetry	C2/c (15)
magnetization	1.190	μB per atom
total energy	-104.56	eV for the cell shown



4.
First-principles (PBE-GGA) data for ZnPSe3 after structural relaxation, as listed in the Open Quantum Materials Database.

```
ZnPSe3
1.0
6.265 0.000 0.000
0.000 6.816 0.000
-5.882 0.000 11.854
P Se Zn
4 12 4
direct
0.143 0.089 0.072
0.857 0.589 0.428
0.143 0.411 0.572
0.857 0.911 0.928
0.744 0.677 0.007
0.918 0.212 0.152
0.398 0.880 0.193
0.602 0.380 0.307
0.082 0.712 0.348
0.256 0.177 0.493
0.744 0.823 0.507
0.918 0.288 0.652
0.398 0.620 0.693
0.602 0.120 0.807
0.082 0.788 0.848
0.256 0.323 0.993
0.765 0.876 0.168
0.235 0.376 0.332
0.765 0.624 0.668
0.235 0.124 0.832
```

symmetry	P2_1/c (14)
total energy	-74.30	eV for the cell shown



5.
First-principles (PBE-GGA) data for Zr4PSe5 after structural relaxation, as listed in the Open Quantum Materials Database.

```
Zr4PSe5
1.0
-7.065 -4.708 0.337
-4.837 -6.714 -1.931
3.869 -2.587 6.090
P Se Zr
1 5 4
direct
0.500 0.500 0.000
0.830 0.830 0.181
0.166 0.166 0.330
0.500 0.500 0.500
0.834 0.834 0.670
0.170 0.170 0.819
0.659 0.659 0.076
0.000 0.000 0.233
0.000 0.000 0.767
0.341 0.341 0.924
```

symmetry	C2/m (12)
magnetization	0.001	μB per atom
total energy	-70.62	eV for the cell shown



6.
First-principles (PBE-GGA) data for Tm2SiSnP4 after structural relaxation, as listed in the Open Quantum Materials Database.

```
Tm2SiSnP4
1.0
-3.014 3.014 5.878
3.014 -3.014 5.878
3.014 3.014 -5.878
P Si Sn Tm
4 1 1 2
direct
0.672 0.113 0.007
0.336 0.328 0.442
0.887 0.894 0.558
0.106 0.664 0.993
0.000 0.000 0.000
0.250 0.750 0.500
0.500 0.500 0.000
0.750 0.250 0.500
```

symmetry	I-4 (82)
magnetization	0.000	μB per atom
total energy	-43.30	eV for the cell shown



7.
First-principles (PBE-GGA) data for Zn2SiSnP4 after structural relaxation, as listed in the Open Quantum Materials Database.

```
Zn2SiSnP4
1.0
-2.231 -4.788 4.202
-0.256 2.517 6.257
-2.446 2.308 -5.852
P Si Sn Zn
4 1 1 2
direct
0.156 0.635 0.024
0.868 0.844 0.479
0.365 0.389 0.521
0.611 0.132 0.976
0.500 0.500 0.000
0.750 0.250 0.500
0.000 0.000 0.000
0.250 0.750 0.500
```

symmetry	I-4 (82)
total energy	-35.55	eV for the cell shown



8.
First-principles (PBE-GGA) data for SrZnSi2P4 after structural relaxation, as listed in the Open Quantum Materials Database.

```
SrZnSi2P4
1.0
0.820 -1.231 6.142
-0.421 6.098 1.598
-4.507 -2.859 -3.381
P Si Sr Zn
4 2 1 1
direct
0.578 0.167 0.033
0.833 0.866 0.411
0.455 0.422 0.589
0.134 0.545 0.967
0.500 0.500 0.000
0.750 0.250 0.500
0.000 0.000 0.000
0.250 0.750 0.500
```

symmetry	I-4 (82)
total energy	-38.06	eV for the cell shown



9.
First-principles (PBE-GGA) data for Sm3P11 after structural relaxation, as listed in the Open Quantum Materials Database.

```
Sm3P11
1.0
7.532 -3.664 0.000
7.532 3.664 0.000
-0.922 0.000 5.717
P Sm
11 3
direct
0.375 0.062 0.297
0.062 0.375 0.297
0.854 0.854 0.443
0.705 0.182 0.500
0.182 0.705 0.500
0.935 0.403 0.614
0.403 0.935 0.614
0.182 0.182 0.850
0.707 0.226 0.877
0.226 0.707 0.877
0.551 0.551 0.992
0.375 0.375 0.147
0.043 0.043 0.228
0.743 0.743 0.963
```

symmetry	Cm (8)
magnetization	0.001	μB per atom
total energy	-79.69	eV for the cell shown



10.
First-principles (PBE-GGA) data for SmP after structural relaxation, as listed in the Open Quantum Materials Database.

```
SmP
1.0
-1.350 -4.949 -3.640
-0.739 -3.115 4.510
-5.289 1.380 0.086
P Sm
4 4
direct
0.750 0.500 0.022
0.250 0.000 0.358
0.750 0.000 0.642
0.250 0.500 0.978
0.750 0.000 0.145
0.000 0.500 0.500
0.500 0.500 0.500
0.250 0.000 0.855
```

symmetry	Pmma (51)
magnetization	0.000	μB per atom
total energy	-47.35	eV for the cell shown



11.
First-principles (PBE-GGA) data for Sm5P after structural relaxation, as listed in the Open Quantum Materials Database.

```
Sm5P
1.0
3.195 -5.534 0.000
3.195 5.534 0.000
0.000 0.000 11.786
P Sm
2 10
direct
0.332 0.668 0.250
0.668 0.332 0.750
0.334 0.666 0.022
0.831 0.169 0.250
0.335 0.169 0.250
0.831 0.665 0.250
0.334 0.666 0.478
0.666 0.334 0.522
0.169 0.335 0.750
0.665 0.831 0.750
0.169 0.831 0.750
0.666 0.334 0.978
```

symmetry	Cmcm (63)
magnetization	0.001	μB per atom
total energy	-57.79	eV for the cell shown



12.
First-principles (PBE-GGA) data for SmP after structural relaxation, as listed in the Open Quantum Materials Database.

```
SmP
1.0
3.992 -0.002 0.000
-1.997 3.463 0.000
0.000 0.000 3.640
P Sm
1 1
direct
0.667 0.333 0.750
0.333 0.667 0.250
```

symmetry	Amm2 (38)
magnetization	0.000	μB per atom
total energy	-12.64	eV for the cell shown



13.
First-principles (PBE-GGA) data for SmP after structural relaxation, as listed in the Open Quantum Materials Database.

```
SmP
1.0
0.000 3.211 3.211
3.211 0.000 3.211
3.211 3.211 0.000
P Sm
1 1
direct
0.000 0.000 0.000
0.250 0.250 0.250
```

symmetry	F-43m (216)
magnetization	0.000	μB per atom
total energy	-12.22	eV for the cell shown



14.
First-principles (PBE-GGA) data for SmSn2P2 after structural relaxation, as listed in the Open Quantum Materials Database.

```
SmSn2P2
1.0
7.477 1.720 -0.152
4.889 3.488 4.778
-5.567 -5.173 -1.068
P Sm Sn
2 1 2
direct
0.422 0.422 0.000
0.578 0.578 0.000
0.000 0.000 0.000
0.750 0.250 0.500
0.250 0.750 0.500
```

symmetry	I4/mmm (139)
magnetization	0.001	μB per atom
total energy	-25.13	eV for the cell shown



15.
First-principles (PBE-GGA) data for Sr2SmP2 after structural relaxation, as listed in the Open Quantum Materials Database.

```
Sr2SmP2
1.0
4.275 0.000 0.000
-2.138 3.702 0.000
0.000 0.000 10.722
P Sm Sr
2 1 2
direct
0.333 0.667 0.153
0.667 0.333 0.847
0.000 0.000 0.000
0.667 0.333 0.304
0.333 0.667 0.696
```

symmetry	P-3m1 (164)
magnetization	0.001	μB per atom
total energy	-24.44	eV for the cell shown



16.
First-principles (PBE-GGA) data for Sm3TeP2 after structural relaxation, as listed in the Open Quantum Materials Database.

```
Sm3TeP2
1.0
4.179 0.000 0.000
-2.089 3.619 0.000
0.000 0.000 10.554
P Sm Te
2 3 1
direct
0.667 0.333 0.342
0.333 0.667 0.658
0.333 0.667 0.200
0.000 0.000 0.500
0.667 0.333 0.800
0.000 0.000 0.000
```

symmetry	P-3m1 (164)
magnetization	0.000	μB per atom
total energy	-37.69	eV for the cell shown



17.
First-principles (PBE-GGA) data for Sm3Te2P after structural relaxation, as listed in the Open Quantum Materials Database.

```
Sm3Te2P
1.0
-1.213 -1.316 3.876
4.112 0.845 -0.778
-1.560 10.397 3.042
P Sm Te
1 3 2
direct
0.000 0.000 0.500
0.000 0.000 0.000
0.667 0.333 0.364
0.333 0.667 0.636
0.333 0.667 0.176
0.667 0.333 0.824
```

symmetry	P-3m1 (164)
magnetization	0.001	μB per atom
total energy	-34.86	eV for the cell shown



18.
First-principles (PBE-GGA) data for SmThP4 after structural relaxation, as listed in the Open Quantum Materials Database.

```
SmThP4
1.0
1.135 0.737 5.107
-2.147 -4.700 1.098
4.905 -2.414 -0.742
P Sm Th
4 1 1
direct
0.139 0.139 0.000
0.861 0.861 0.000
0.639 0.361 0.500
0.361 0.639 0.500
0.500 0.500 0.000
0.000 0.000 0.500
```

symmetry	Cmmm (65)
magnetization	0.000	μB per atom
total energy	-37.26	eV for the cell shown



19.
First-principles (PBE-GGA) data for SmTh3P4 after structural relaxation, as listed in the Open Quantum Materials Database.

```
SmTh3P4
1.0
-3.407 -3.206 3.504
4.514 -3.528 1.161
1.478 3.382 4.533
P Sm Th
4 1 3
direct
0.500 0.000 0.000
0.000 0.500 0.000
0.000 0.000 0.500
0.500 0.500 0.500
0.000 0.000 0.000
0.500 0.500 0.000
0.500 0.000 0.500
0.000 0.500 0.500
```

symmetry	Pm-3m (221)
magnetization	0.001	μB per atom
total energy	-61.15	eV for the cell shown



20.
First-principles (PBE-GGA) data for SmTm2P3 after structural relaxation, as listed in the Open Quantum Materials Database.

```
SmTm2P3
1.0
-0.670 -0.767 -3.869
-2.998 -0.253 2.638
-2.121 9.439 -1.504
P Sm Tm
3 1 2
direct
0.000 0.000 0.000
0.333 0.667 0.325
0.667 0.333 0.675
0.000 0.000 0.500
0.667 0.333 0.163
0.333 0.667 0.837
```

symmetry	P-3m1 (164)
magnetization	0.001	μB per atom
total energy	-39.42	eV for the cell shown



21.
First-principles (PBE-GGA) data for SmTm2P2 after structural relaxation, as listed in the Open Quantum Materials Database.

```
SmTm2P2
1.0
4.823 2.686 4.194
-0.040 6.088 3.318
-3.721 -5.680 -1.399
P Sm Tm
2 1 2
direct
0.396 0.396 0.000
0.604 0.604 0.000
0.000 0.000 0.000
0.750 0.250 0.500
0.250 0.750 0.500
```

symmetry	I4/mmm (139)
magnetization	0.005	μB per atom
total energy	-28.73	eV for the cell shown



22.
First-principles (PBE-GGA) data for SmU2P3 after structural relaxation, as listed in the Open Quantum Materials Database.

```
SmU2P3
1.0
-3.552 0.257 -1.743
2.748 -2.461 -1.454
-3.385 -7.225 5.832
P Sm U
3 1 2
direct
0.000 0.000 0.000
0.333 0.667 0.323
0.667 0.333 0.677
0.000 0.000 0.500
0.667 0.333 0.163
0.333 0.667 0.837
```

symmetry	P-3m1 (164)
magnetization	0.747	μB per atom
total energy	-50.49	eV for the cell shown



23.
First-principles (PBE-GGA) data for Sm2UP3 after structural relaxation, as listed in the Open Quantum Materials Database.

```
Sm2UP3
1.0
4.029 0.000 0.000
-2.014 3.489 0.000
0.000 0.000 10.019
P Sm U
3 2 1
direct
0.000 0.000 0.000
0.333 0.667 0.343
0.667 0.333 0.657
0.667 0.333 0.165
0.333 0.667 0.835
0.000 0.000 0.500
```

symmetry	P-3m1 (164)
magnetization	0.379	μB per atom
total energy	-45.18	eV for the cell shown



24.
First-principles (PBE-GGA) data for Sm2YP3 after structural relaxation, as listed in the Open Quantum Materials Database.

```
Sm2YP3
1.0
4.076 0.000 0.000
-2.038 3.530 0.000
0.000 0.000 9.973
P Sm Y
3 2 1
direct
0.000 0.000 0.000
0.333 0.667 0.338
0.667 0.333 0.662
0.667 0.333 0.169
0.333 0.667 0.831
0.000 0.000 0.500
```

symmetry	P-3m1 (164)
magnetization	0.001	μB per atom
total energy	-41.66	eV for the cell shown



25.
First-principles (PBE-GGA) data for SmZn2P2 after structural relaxation, as listed in the Open Quantum Materials Database.

```
SmZn2P2
1.0
-1.895 1.895 6.251
1.895 -1.895 6.251
1.895 1.895 -6.251
P Sm Zn
2 1 2
direct
0.382 0.382 0.000
0.618 0.618 0.000
0.000 0.000 0.000
0.750 0.250 0.500
0.250 0.750 0.500
```

symmetry	I4/mmm (139)
magnetization	0.003	μB per atom
total energy	-20.77	eV for the cell shown